Here is EuErPuMg after structural relaxation from Alexandria. Energies are from PBE.

As for the volume: 481.0 Å³ per cell. Its calculated formation energy is 0.8 eV/f.u.

The structure belongs to space group F-43m (No. 216); the cell edges are 7.835, 7.835 and 7.835 Å and the angles 90.00°, 90.00° and 90.00°. The asymmetric unit holds Eu at (0.000, 0.000, 0.000), Er at (0.000, 0.000, 0.500), Pu at (0.250, 0.250, 0.250) and Mg at (0.250, 0.250, 0.750).